Record 1
MgTiPdO4: optimized geometry, PBE.

a = 5.8300 Å, b = 5.8739 Å, c = 9.8445 Å
α = 90.00°, β = 90.00°, γ = 90.00°
Space group Imma (No. 74)
One atom of each set of equivalent atoms:
Mg 0.0000 0.2500 0.1010 (multiplicity 4)
Ti 0.2500 0.2500 0.7500 (multiplicity 4)
Pd 0.0000 0.0000 0.5000 (multiplicity 4)
O 0.0000 0.0278 0.7786 (multiplicity 8)
O 0.2380 0.2500 0.5394 (multiplicity 8)

Summary:
The value obtained for the total energy is -6.9692 eV per atom. The calculation puts the density of states at the Fermi level at 0.61 states/eV per cell. Its total magnetization is 0.00 μB/f.u. Its raw formation energy is -2038 meV per atom.

Record 2
MgTlPdO4: optimized geometry, PBE.

a = 6.4875 Å, b = 6.5148 Å, c = 8.8854 Å
α = 90.00°, β = 90.00°, γ = 90.00°
Space group Imma (No. 74)
One atom of each set of equivalent atoms:
Mg 0.0000 0.2500 0.1354 (multiplicity 4)
Tl 0.2500 0.2500 0.7500 (multiplicity 4)
Pd 0.0000 0.0000 0.5000 (multiplicity 4)
O 0.0000 0.0011 0.7314 (multiplicity 8)
O 0.2306 0.2500 0.4940 (multiplicity 8)

Summary:
The value obtained for the total energy is -5.1625 eV per atom. The calculation puts the density of states at the Fermi level at 6.50 states/eV per cell. Its total magnetization is 0.78 μB/f.u. Its raw formation energy is -1022 meV per atom.

Record 3
TmMgPdO4: optimized geometry, PBE.

a = 6.4680 Å, b = 6.5719 Å, c = 8.5277 Å
α = 90.00°, β = 90.00°, γ = 90.00°
Space group Imma (No. 74)
One atom of each set of equivalent atoms:
Tm 0.0000 0.0000 0.0000 (multiplicity 4)
Mg 0.0000 0.2500 0.3920 (multiplicity 4)
Pd 0.2500 0.2500 0.7500 (multiplicity 4)
O 0.0000 0.0159 0.7386 (multiplicity 8)
O 0.2318 0.2500 0.9926 (multiplicity 8)

Summary:
The value obtained for the total energy is -6.5394 eV per atom. The calculation puts the density of states at the Fermi level at 5.84 states/eV per cell. Its total magnetization is 0.86 μB/f.u. Its raw formation energy is -2098 meV per atom.

Record 4
MgUPdO6: optimized geometry, PBE.

a = 5.2721 Å, b = 5.2721 Å, c = 9.3031 Å
α = 90.00°, β = 90.00°, γ = 120.00°
Space group P-31c (No. 163)
One atom of each set of equivalent atoms:
Mg 0.0000 0.0000 0.0000 (multiplicity 2)
U 0.3333 0.6667 0.2500 (multiplicity 2)
Pd 0.3333 0.6667 0.7500 (multiplicity 2)
O 0.0074 0.3430 0.6300 (multiplicity 12)

Summary:
The value obtained for the total energy is -7.3612 eV per atom. Its total magnetization is 0.00 μB/f.u. Its raw formation energy is -2047 meV per atom.

> The lowest total energy belongs to which entry?

MgUPdO6